[1]
# TePPt3 | Alexandria | GGA-PBEsol | relaxed
data_TePPt3
_chemical_formula_sum 'Te1 P1 Pt3'
_space_group_name_H-M_alt 'P m -3 m'
_space_group_IT_number 221
_space_group_name_Hall '-P 4 2 3'
_cell_length_a 4.5334
_cell_length_b 4.5334
_cell_length_c 4.5334
_cell_angle_alpha 90.00
_cell_angle_beta 90.00
_cell_angle_gamma 90.00
loop_
_atom_site_label
_atom_site_type_symbol
_atom_site_fract_x
_atom_site_fract_y
_atom_site_fract_z
Te1 Te 0.0000 0.0000 0.0000
P1 P 0.5000 0.5000 0.5000
Pt1 Pt 0.0000 0.5000 0.5000
# * formation energy from raw total energies: 1.28 eV/f.u.
# * D(E_F): 5.0 states/eV per cell



[2]
# KMgCd4 | Alexandria | GGA-PBEsol | relaxed
data_KMgCd4
_chemical_formula_sum 'K4 Mg4 Cd16'
_space_group_name_H-M_alt 'F -4 3 m'
_space_group_IT_number 216
_space_group_name_Hall 'F -4 2 3'
_cell_length_a 8.3776
_cell_length_b 8.3776
_cell_length_c 8.3776
_cell_angle_alpha 90.00
_cell_angle_beta 90.00
_cell_angle_gamma 90.00
loop_
_atom_site_label
_atom_site_type_symbol
_atom_site_fract_x
_atom_site_fract_y
_atom_site_fract_z
K1 K 0.0000 0.0000 0.0000
Mg1 Mg 0.2500 0.2500 0.7500
Cd1 Cd 0.1246 0.1246 0.3754
# * energy relative to the elements: -0.08 eV/f.u.
# * D(E_F): 11.7 states/eV per cell



[3]
# BaTa2Ir | Alexandria | GGA-PBEsol | relaxed
data_BaTa2Ir
_chemical_formula_sum 'Ba1 Ta2 Ir1'
_space_group_name_H-M_alt 'P 4 m m'
_space_group_IT_number 99
_cell_length_a 3.1349
_cell_length_b 3.1349
_cell_length_c 8.9123
_cell_angle_alpha 90.00
_cell_angle_beta 90.00
_cell_angle_gamma 90.00
loop_
_space_group_symop_operation_xyz
'x,y,z'
'-y,x,z'
'-x,-y,z'
'y,-x,z'
'-x,y,z'
'y,x,z'
'x,-y,z'
'-y,-x,z'
loop_
_atom_site_label
_atom_site_type_symbol
_atom_site_fract_x
_atom_site_fract_y
_atom_site_fract_z
Ba1 Ba 0.0000 0.0000 0.0000
Ta1 Ta 0.0000 0.0000 0.4439
Ta2 Ta 0.5000 0.5000 0.6554
Ir1 Ir 0.5000 0.5000 0.2862
# * energy relative to the elements: 0.92 eV/f.u.
# * offset from the most stable computed form: 0 meV per atom
# * D(E_F): 3.3 states/eV per cell



[4]
# LiCaAs | Alexandria | GGA-PBEsol | relaxed
data_LiCaAs
_chemical_formula_sum 'Li2 Ca2 As2'
_space_group_name_H-M_alt 'I 4 m m'
_space_group_IT_number 107
_space_group_name_Hall 'I 4 -2'
_cell_length_a 3.9896
_cell_length_b 3.9896
_cell_length_c 8.0931
_cell_angle_alpha 90.00
_cell_angle_beta 90.00
_cell_angle_gamma 90.00
loop_
_atom_site_label
_atom_site_type_symbol
_atom_site_fract_x
_atom_site_fract_y
_atom_site_fract_z
Li1 Li 0.0000 0.0000 0.0000
Ca1 Ca 0.0000 0.0000 0.6751
As1 As 0.0000 0.0000 0.3173
# * energy relative to the elements: -2.13 eV/f.u.



[5]
# Mo2S3 | Alexandria | GGA-PBEsol | relaxed
data_Mo2S3
_chemical_formula_sum 'Mo4 S6'
_space_group_name_H-M_alt 'P 1 21/m 1'
_space_group_IT_number 11
_cell_length_a 6.0464
_cell_length_b 3.1528
_cell_length_c 8.5347
_cell_angle_alpha 90.00
_cell_angle_beta 102.71
_cell_angle_gamma 90.00
loop_
_space_group_symop_operation_xyz
'x,y,z'
'-x,-y,-z'
'-x,y+1/2,-z'
'x,-y+1/2,z'
loop_
_atom_site_label
_atom_site_type_symbol
_atom_site_fract_x
_atom_site_fract_y
_atom_site_fract_z
Mo1 Mo 0.1098 0.2500 0.1287
Mo2 Mo 0.3106 0.2500 0.5094
S1 S 0.0246 0.7500 0.3428
S2 S 0.2761 0.7500 0.9846
S3 S 0.4921 0.7500 0.6994
# * formation energy from raw total energies: -4.06 eV/f.u.
# * D(E_F): 4.3 states/eV per cell



[6]
# Zr2InMo | Alexandria | GGA-PBEsol | relaxed
data_Zr2InMo
_chemical_formula_sum 'Zr4 In2 Mo2'
_space_group_name_H-M_alt 'C m m m'
_space_group_IT_number 65
_space_group_name_Hall '-C 2 2'
_cell_length_a 3.5043
_cell_length_b 4.9486
_cell_length_c 9.1865
_cell_angle_alpha 90.00
_cell_angle_beta 90.00
_cell_angle_gamma 90.00
loop_
_atom_site_label
_atom_site_type_symbol
_atom_site_fract_x
_atom_site_fract_y
_atom_site_fract_z
Zr1 Zr 0.0000 0.0000 0.2257
In1 In 0.0000 0.5000 0.5000
Mo1 Mo 0.0000 0.5000 0.0000
# * energy relative to the elements: -0.35 eV/f.u.
# * D(E_F): 8.6 states/eV per cell



[7]
# KSrSb2Te | Alexandria | GGA-PBEsol | relaxed
data_KSrSb2Te
_chemical_formula_sum 'K1 Sr1 Sb2 Te1'
_space_group_name_H-M_alt 'P 4/m m m'
_space_group_IT_number 123
_space_group_name_Hall '-P 4 2'
_cell_length_a 5.6817
_cell_length_b 5.6817
_cell_length_c 5.8285
_cell_angle_alpha 90.00
_cell_angle_beta 90.00
_cell_angle_gamma 90.00
loop_
_atom_site_label
_atom_site_type_symbol
_atom_site_fract_x
_atom_site_fract_y
_atom_site_fract_z
K1 K 0.0000 0.0000 0.0000
Sr1 Sr 0.5000 0.5000 0.5000
Sb1 Sb 0.0000 0.5000 0.0000
Te1 Te 0.0000 0.0000 0.5000
# * formation energy from raw total energies: 1.68 eV/f.u.
# * offset from the most stable computed form: 262 meV per atom
# * D(E_F): 4.9 states/eV per cell



[8]
# ScHg3Mo | Alexandria | GGA-PBEsol | relaxed
data_ScHg3Mo
_chemical_formula_sum 'Sc1 Hg3 Mo1'
_space_group_name_H-M_alt 'P m -3 m'
_space_group_IT_number 221
_space_group_name_Hall '-P 4 2 3'
_cell_length_a 5.2613
_cell_length_b 5.2613
_cell_length_c 5.2613
_cell_angle_alpha 90.00
_cell_angle_beta 90.00
_cell_angle_gamma 90.00
loop_
_atom_site_label
_atom_site_type_symbol
_atom_site_fract_x
_atom_site_fract_y
_atom_site_fract_z
Sc1 Sc 0.0000 0.0000 0.0000
Hg1 Hg 0.0000 0.0000 0.5000
Mo1 Mo 0.5000 0.5000 0.5000
# * energy relative to the elements: 6.57 eV/f.u.
# * D(E_F): 4.0 states/eV per cell



[9]
# Al2Zn2Bi | Alexandria | GGA-PBEsol | relaxed
data_Al2Zn2Bi
_chemical_formula_sum 'Al4 Zn4 Bi2'
_space_group_name_H-M_alt 'P 4/m b m'
_space_group_IT_number 127
_space_group_name_Hall '-P 4 2ab'
_cell_length_a 7.7176
_cell_length_b 7.7176
_cell_length_c 3.1916
_cell_angle_alpha 90.00
_cell_angle_beta 90.00
_cell_angle_gamma 90.00
loop_
_atom_site_label
_atom_site_type_symbol
_atom_site_fract_x
_atom_site_fract_y
_atom_site_fract_z
Al1 Al 0.1753 0.3247 0.0000
Zn1 Zn 0.1185 0.6185 0.5000
Bi1 Bi 0.0000 0.0000 0.5000
# * energy relative to the elements: 0.88 eV/f.u.
# * D(E_F): 5.0 states/eV per cell



[10]
# PdPb2Se2Cl2O6 | Alexandria | GGA-PBEsol | relaxed
data_PdPb2Se2Cl2O6
_chemical_formula_sum 'Pd2 Pb4 Se4 Cl4 O12'
_space_group_name_H-M_alt 'P 1 21/c 1'
_space_group_IT_number 14
_cell_length_a 8.1493
_cell_length_b 5.3108
_cell_length_c 12.9642
_cell_angle_alpha 90.00
_cell_angle_beta 123.45
_cell_angle_gamma 90.00
loop_
_space_group_symop_operation_xyz
'x,y,z'
'-x,-y,-z'
'-x,y+1/2,-z+1/2'
'x,-y+1/2,z+1/2'
loop_
_atom_site_label
_atom_site_type_symbol
_atom_site_fract_x
_atom_site_fract_y
_atom_site_fract_z
Pd1 Pd 0.0000 0.0000 0.0000
Pb1 Pb 0.3346 0.0555 0.8066
Se1 Se 0.2881 0.0338 0.5244
Cl1 Cl 0.0546 0.5917 0.6885
O1 O 0.1668 0.1997 0.5810
O2 O 0.4374 0.2380 0.0242
O3 O 0.4380 0.6188 0.1634
# * formation energy from raw total energies: -11.99 eV/f.u.



[11]
# Li2MgRe | Alexandria | GGA-PBEsol | relaxed
data_Li2MgRe
_chemical_formula_sum 'Li8 Mg4 Re4'
_space_group_name_H-M_alt 'F m -3 m'
_space_group_IT_number 225
_space_group_name_Hall '-F 4 2 3'
_cell_length_a 6.1602
_cell_length_b 6.1602
_cell_length_c 6.1602
_cell_angle_alpha 90.00
_cell_angle_beta 90.00
_cell_angle_gamma 90.00
loop_
_atom_site_label
_atom_site_type_symbol
_atom_site_fract_x
_atom_site_fract_y
_atom_site_fract_z
Li1 Li 0.2500 0.2500 0.2500
Mg1 Mg 0.0000 0.0000 0.0000
Re1 Re 0.0000 0.0000 0.5000
# * energy relative to the elements: 3.09 eV/f.u.
# * offset from the most stable computed form: 520 meV per atom
# * D(E_F): 10.4 states/eV per cell



[12]
# W3Br | Alexandria | GGA-PBEsol | relaxed
data_W3Br
_chemical_formula_sum 'W12 Br4'
_space_group_name_H-M_alt 'F m -3 m'
_space_group_IT_number 225
_space_group_name_Hall '-F 4 2 3'
_cell_length_a 6.3747
_cell_length_b 6.3747
_cell_length_c 6.3747
_cell_angle_alpha 90.00
_cell_angle_beta 90.00
_cell_angle_gamma 90.00
loop_
_atom_site_label
_atom_site_type_symbol
_atom_site_fract_x
_atom_site_fract_y
_atom_site_fract_z
W1 W 0.0000 0.0000 0.0000
W2 W 0.2500 0.2500 0.2500
Br1 Br 0.0000 0.0000 0.5000
# * formation energy from raw total energies: 4.85 eV/f.u.
# * D(E_F): 12.2 states/eV per cell



[13]
# MgZnAs2 | Alexandria | GGA-PBEsol | relaxed
data_MgZnAs2
_chemical_formula_sum 'Mg2 Zn2 As4'
_space_group_name_H-M_alt 'C m m m'
_space_group_IT_number 65
_space_group_name_Hall '-C 2 2'
_cell_length_a 5.6740
_cell_length_b 7.0470
_cell_length_c 3.5724
_cell_angle_alpha 90.00
_cell_angle_beta 90.00
_cell_angle_gamma 90.00
loop_
_atom_site_label
_atom_site_type_symbol
_atom_site_fract_x
_atom_site_fract_y
_atom_site_fract_z
Mg1 Mg 0.0000 0.0000 0.0000
Zn1 Zn 0.0000 0.5000 0.0000
As1 As 0.2500 0.2500 0.5000
# * energy relative to the elements: -0.19 eV/f.u.
# * offset from the most stable computed form: 51 meV per atom
# * D(E_F): 3.0 states/eV per cell



[14]
# CaFeCu2 | Alexandria | GGA-PBEsol | relaxed
data_CaFeCu2
_chemical_formula_sum 'Ca1 Fe1 Cu2'
_space_group_name_H-M_alt 'P 4/m m m'
_space_group_IT_number 123
_space_group_name_Hall '-P 4 2'
_cell_length_a 3.0963
_cell_length_b 3.0963
_cell_length_c 6.5127
_cell_angle_alpha 90.00
_cell_angle_beta 90.00
_cell_angle_gamma 90.00
loop_
_atom_site_label
_atom_site_type_symbol
_atom_site_fract_x
_atom_site_fract_y
_atom_site_fract_z
Ca1 Ca 0.0000 0.0000 0.0000
Fe1 Fe 0.0000 0.0000 0.5000
Cu1 Cu 0.5000 0.5000 0.3115
# * energy relative to the elements: 1.08 eV/f.u.
# * D(E_F): 4.6 states/eV per cell



[15]
# ZrSi2Hg | Alexandria | GGA-PBEsol | relaxed
data_ZrSi2Hg
_chemical_formula_sum 'Zr2 Si4 Hg2'
_space_group_name_H-M_alt 'I 4/m m m'
_space_group_IT_number 139
_space_group_name_Hall '-I 4 2'
_cell_length_a 4.0313
_cell_length_b 4.0313
_cell_length_c 8.6104
_cell_angle_alpha 90.00
_cell_angle_beta 90.00
_cell_angle_gamma 90.00
loop_
_atom_site_label
_atom_site_type_symbol
_atom_site_fract_x
_atom_site_fract_y
_atom_site_fract_z
Zr1 Zr 0.0000 0.0000 0.0000
Si1 Si 0.0000 0.5000 0.2500
Hg1 Hg 0.0000 0.0000 0.5000
# * formation energy from raw total energies: -0.72 eV/f.u.
# * offset from the most stable computed form: 49 meV per atom
# * D(E_F): 1.9 states/eV per cell



[16]
# SrCa2Cu2 | Alexandria | GGA-PBEsol | relaxed
data_SrCa2Cu2
_chemical_formula_sum 'Sr2 Ca4 Cu4'
_space_group_name_H-M_alt 'P 4/m b m'
_space_group_IT_number 127
_space_group_name_Hall '-P 4 2ab'
_cell_length_a 7.8421
_cell_length_b 7.8421
_cell_length_c 4.3280
_cell_angle_alpha 90.00
_cell_angle_beta 90.00
_cell_angle_gamma 90.00
loop_
_atom_site_label
_atom_site_type_symbol
_atom_site_fract_x
_atom_site_fract_y
_atom_site_fract_z
Sr1 Sr 0.0000 0.0000 0.0000
Ca1 Ca 0.1627 0.3373 0.5000
Cu1 Cu 0.1103 0.6103 0.0000
# * energy relative to the elements: -0.03 eV/f.u.
# * offset from the most stable computed form: 0 meV per atom
# * D(E_F): 7.9 states/eV per cell



[17]
# Dy2CdCu2 | Alexandria | GGA-PBEsol | relaxed
data_Dy2CdCu2
_chemical_formula_sum 'Dy4 Cd2 Cu4'
_space_group_name_H-M_alt 'P 4/m b m'
_space_group_IT_number 127
_space_group_name_Hall '-P 4 2ab'
_cell_length_a 7.4409
_cell_length_b 7.4409
_cell_length_c 3.5994
_cell_angle_alpha 90.00
_cell_angle_beta 90.00
_cell_angle_gamma 90.00
loop_
_atom_site_label
_atom_site_type_symbol
_atom_site_fract_x
_atom_site_fract_y
_atom_site_fract_z
Dy1 Dy 0.1741 0.3259 0.0000
Cd1 Cd 0.0000 0.0000 0.5000
Cu1 Cu 0.1200 0.6200 0.5000
# * energy relative to the elements: -1.54 eV/f.u.
# * D(E_F): 7.3 states/eV per cell



[18]
# LaCoRh2 | Alexandria | GGA-PBEsol | relaxed
data_LaCoRh2
_chemical_formula_sum 'La3 Co3 Rh6'
_space_group_name_H-M_alt 'R -3 m'
_space_group_IT_number 166
_space_group_name_Hall '-R 3 2"'
_cell_length_a 4.2091
_cell_length_b 4.2091
_cell_length_c 14.5369
_cell_angle_alpha 90.00
_cell_angle_beta 90.00
_cell_angle_gamma 120.00
loop_
_atom_site_label
_atom_site_type_symbol
_atom_site_fract_x
_atom_site_fract_y
_atom_site_fract_z
La1 La 0.0000 0.0000 0.0000
Co1 Co 0.0000 0.0000 0.5000
Rh1 Rh 0.0000 0.0000 0.1995
# * energy relative to the elements: -0.70 eV/f.u.
# * D(E_F): 18.3 states/eV per cell



[19]
# AlFe2OF | Alexandria | GGA-PBEsol | relaxed
data_AlFe2OF
_chemical_formula_sum 'Al1 Fe2 O1 F1'
_space_group_name_H-M_alt 'P 4/m m m'
_space_group_IT_number 123
_space_group_name_Hall '-P 4 2'
_cell_length_a 3.6535
_cell_length_b 3.6535
_cell_length_c 4.6312
_cell_angle_alpha 90.00
_cell_angle_beta 90.00
_cell_angle_gamma 90.00
loop_
_atom_site_label
_atom_site_type_symbol
_atom_site_fract_x
_atom_site_fract_y
_atom_site_fract_z
Al1 Al 0.0000 0.0000 0.0000
Fe1 Fe 0.0000 0.5000 0.5000
O1 O 0.5000 0.5000 0.0000
F1 F 0.5000 0.5000 0.5000
# * formation energy from raw total energies: 0.42 eV/f.u.
# * D(E_F): 4.4 states/eV per cell



[20]
# CrHgRu2 | Alexandria | GGA-PBEsol | relaxed
data_CrHgRu2
_chemical_formula_sum 'Cr2 Hg2 Ru4'
_space_group_name_H-M_alt 'C m m m'
_space_group_IT_number 65
_space_group_name_Hall '-C 2 2'
_cell_length_a 5.4969
_cell_length_b 7.4400
_cell_length_c 2.8506
_cell_angle_alpha 90.00
_cell_angle_beta 90.00
_cell_angle_gamma 90.00
loop_
_atom_site_label
_atom_site_type_symbol
_atom_site_fract_x
_atom_site_fract_y
_atom_site_fract_z
Cr1 Cr 0.0000 0.0000 0.0000
Hg1 Hg 0.0000 0.5000 0.0000
Ru1 Ru 0.2500 0.2500 0.5000
# * energy relative to the elements: 2.40 eV/f.u.
# * D(E_F): 11.0 states/eV per cell